An optimized crystal structure of ReAg2P, computed with GGA-PBE.

Summary:
Uncorrected energy = -5.733 eV/atom
Formation energy = 0.16 eV per atom
M_tot = 0.000 μB per formula unit

```
ReAg2P
1.0
-6.948 -1.444 -5.287
-5.008 -3.339 -6.488
-6.623 -4.160 -4.141
Ag P Re
2 1 1
Direct
0.003 0.003 0.003
0.246 0.246 0.246
0.490 0.490 0.490
0.761 0.761 0.761
```

***

An optimized crystal structure of Re2AgP, computed with GGA-PBE.

Summary:
Uncorrected energy = -7.462 eV/atom
Formation energy = 0.83 eV per atom
M_tot = 0.000 μB per formula unit

```
Re2AgP
1.0
3.794 0.000 0.000
0.000 3.794 0.000
1.897 1.897 9.334
Re Ag P
4 2 2
Direct
0.571 0.125 0.250
0.179 0.625 0.250
0.375 0.429 0.750
0.875 0.821 0.750
0.000 0.000 0.000
0.750 0.250 0.500
0.500 0.500 0.000
0.250 0.750 0.500
```

***

Repeat the second record exactly.
An optimized crystal structure of Re2AgP, computed with GGA-PBE.

Summary:
Uncorrected energy = -7.462 eV/atom
Formation energy = 0.83 eV per atom
M_tot = 0.000 μB per formula unit

```
Re2AgP
1.0
3.794 0.000 0.000
0.000 3.794 0.000
1.897 1.897 9.334
Re Ag P
4 2 2
Direct
0.571 0.125 0.250
0.179 0.625 0.250
0.375 0.429 0.750
0.875 0.821 0.750
0.000 0.000 0.000
0.750 0.250 0.500
0.500 0.500 0.000
0.250 0.750 0.500
```

***

Question: Which of these has the lowest formation energy?
Answer: ReAg2P